LiTlTeAs | PBE | optimized geometry

Cell lengths 4.4620, 3.7887, 6.2865 Å; angles 90.00, 99.48, 90.00 degrees
Space group Pm (No. 6)
Symmetry-distinct sites (fractional):
Li: 0.0000 0.0000 0.0000
Tl: 0.1642 0.0000 0.5074
Te: 0.5348 0.5000 0.1006
As: 0.6856 0.5000 0.7197

E_tot   -13.08 eV/cell
E_form (uncorrected)   -0.253 eV/atom